! BeSi2Se, optimized geometry, DFT PBE-GGA; values from VASP
! Magnetization   0.00 μB per formula unit
! Total energy   -4.2396 eV/atom
! Distance to the lowest polymorph of the same formula   497.1 meV per atom
! DOS(E_F)   1.1 states/eV per cell
! ρ   3.924 g cm⁻³
! Energy relative to the elements, uncorrected   0.27 eV/atom
! Space group   Fmmm, No. 69
&SYSTEM
  ibrav = 0, nat = 4, ntyp = 3
/
ATOMIC_SPECIES
Be 9.01 Be.upf
Si 28.09 Si.upf
Se 78.96 Se.upf
ATOMIC_POSITIONS crystal
Be 0.000 0.500 0.500
Si 0.000 0.000 0.000
Si 0.500 0.000 0.500
Se 0.500 0.500 0.000
CELL_PARAMETERS angstrom
3.512 0.001 0.002
-1.696 5.249 0.027
0.119 1.156 3.314

=====

! BeSiSe2, optimized geometry, DFT PBE-GGA; values from VASP
! Magnetization   0.00 μB per formula unit
! Total energy   -3.8671 eV/atom
! Distance to the lowest polymorph of the same formula   569.9 meV per atom
! DOS(E_F)   1.5 states/eV per cell
! ρ   3.787 g cm⁻³
! Energy relative to the elements, uncorrected   0.16 eV/atom
! Space group   P2/m, No. 10
&SYSTEM
  ibrav = 0, nat = 4, ntyp = 3
/
ATOMIC_SPECIES
Be 9.01 Be.upf
Si 28.09 Si.upf
Se 78.96 Se.upf
ATOMIC_POSITIONS crystal
Be 0.500 0.750 0.750
Si 0.500 0.250 0.250
Se 0.000 0.130 0.970
Se 0.000 0.370 0.530
CELL_PARAMETERS angstrom
-3.329 -0.746 0.376
0.803 -3.747 -0.327
0.089 2.983 6.711